Material: CdTe2Ru
Method: DFT, PBEsol
State: optimized geometry

Total magnetic moment = 0.000 μB per cell
E_form (uncorrected) = 73 meV/atom
Distance to the lowest polymorph of the same formula = 0.000 eV/atom
VASP energy = -4.533 eV per atom

a b c (Å): 3.930 5.229 5.680
angles (deg): 117.40 90.00 90.00
Fractional positions:
Te 0.000 0.334 0.168
Te 0.000 0.666 0.832
Ru 0.500 0.500 0.500
Cd 0.500 0.000 0.500

=====

Material: TlCdRu
Method: DFT, PBEsol
State: optimized geometry

Total magnetic moment = 0.001 μB per cell
VASP energy = -4.189 eV per atom
Formation energy = 0.478 eV/atom

a b c (Å): 3.285 3.285 5.662
angles (deg): 106.86 106.86 90.00
Fractional positions:
Cd 0.016 0.016 0.033
Ru 0.667 0.667 0.334
Tl 0.317 0.317 0.634